Below is a geometry-optimized Ni2BiF8 structure, with properties calculated at the GGA+U level.

The calculation puts the density at 5.32 g cm⁻³. Its calculated total energy is -4.23 eV/atom.

The structure belongs to space group C2/m (No. 12); the cell edges are 9.821, 7.204 and 4.224 Å and the angles 90.00°, 90.82° and 90.00°. The distinct sites, in fractional coordinates, are Ni at (0.113, 0.000, 0.255), Bi at (0.000, 0.500, 0.000), F at (0.091, 0.000, 0.753), F at (0.104, 0.277, 0.256) and F at (0.187, 0.500, 0.730).